(1)
Compound: YCuSe2Br
Source: the Alexandria database
Functional: PBE
Structure: relaxed

energy relative to the lowest polymorph listed for this composition = 0.000 eV/atom
DOS(E_F) = 0.160 states/eV per atom
DFT total energy = -21.99 eV for the cell shown
symmetry = P4/mmm
formation energy from raw total energies = -12.9 kcal/mol of atoms

Unit cell a=4.917 b=4.917 c=4.785 alpha=90.00 beta=90.00 gamma=90.00
Fractional positions:
Br (0.000, 0.000, 0.500)
Se (0.000, 0.500, 0.000)
Y (0.500, 0.500, 0.500)
Se (0.500, 0.000, 0.000)
Cu (0.000, 0.000, 0.000)

(2)
Compound: ZnCuPd4
Source: the Alexandria database
Functional: PBE
Structure: relaxed

energy relative to the lowest polymorph listed for this composition = 0.000 eV/atom
DOS(E_F) = 0.798 states/eV per atom
DFT total energy = -27.31 eV for the cell shown
symmetry = C2/m

Unit cell a=4.300 b=4.300 c=8.988 alpha=46.94 beta=46.94 gamma=61.68
Fractional positions:
Cu (0.500, 0.500, 0.500)
Pd (0.527, 0.527, 0.142)
Pd (0.473, 0.473, 0.858)
Pd (0.029, 0.029, 0.638)
Zn (0.000, 0.000, 0.000)
Pd (0.971, 0.971, 0.362)

(3)
Compound: ScVIn2Te
Source: the Alexandria database
Functional: PBE
Structure: relaxed

DOS(E_F) = 0.925 states/eV per atom
DFT total energy = -22.35 eV for the cell shown
symmetry = P4/mmm
formation energy from raw total energies = 7.9 kcal/mol of atoms

Unit cell a=5.191 b=5.000 c=5.191 alpha=90.00 beta=90.00 gamma=90.00
Site moments in Bohr magnetons follow the coordinates.
Fractional positions:
V (0.000, 0.000, 0.000)  0.77
In (0.500, 0.000, 0.000)  -0.01
Sc (0.500, 0.500, 0.500)  0.33
Te (0.000, 0.500, 0.000)  -0.03
In (0.000, 0.000, 0.500)  0.01